{
  "formula": "Ba2PbN",
  "functional": "PBE-GGA",
  "state": "optimized geometry",
  "lattice_angstrom": [[1.972, 1.139, 10.346], [-1.972, 1.139, 10.346], [0.000, -2.277, 10.346]],
  "species": ["Ba", "Ba", "Pb", "N"],
  "frac_coords": [[0.118, 0.118, 0.118], [0.882, 0.882, 0.882], [0.000, 0.000, 0.000], [0.500, 0.500, 0.500]],
  "magmom_total_mub_per_fu": 0.00,
  "n_ef_per_ev_fu": 2.3,
  "spacegroup": "R-3m",
  "raw_formation_energy_kj_per_mol_atoms": -25.0,
  "vol_a3_per_cell": 139.4
}

{
  "formula": "LiZrF3",
  "functional": "PBE-GGA",
  "state": "optimized geometry",
  "lattice_angstrom": [[4.375, 0.000, 0.000], [0.000, 4.375, 0.000], [0.000, 0.000, 4.375]],
  "species": ["Li", "Zr", "F", "F", "F"],
  "frac_coords": [[0.000, 0.000, 0.000], [0.500, 0.500, 0.500], [0.000, 0.500, 0.500], [0.500, 0.000, 0.500], [0.500, 0.500, 0.000]],
  "de_polymorph_ev_per_atom": 0.000,
  "magmom_total_mub_per_fu": 1.47,
  "n_ef_per_ev_fu": 4.3,
  "spacegroup": "Pm-3m",
  "raw_formation_energy_kj_per_mol_atoms": -229.3,
  "vol_a3_per_cell": 83.7
}

{
  "formula": "Sr3TmPa2As6",
  "functional": "PBE-GGA",
  "state": "optimized geometry",
  "lattice_angstrom": [[3.668, -6.353, 0.000], [3.668, 6.353, 0.000], [-2.443, 0.000, 7.122]],
  "species": ["Sr", "Sr", "Sr", "Tm", "Pa", "Pa", "As", "As", "As", "As", "As", "As"],
  "frac_coords": [[0.000, 0.000, 0.000], [0.335, 0.665, 0.000], [0.665, 0.335, 0.000], [0.500, 0.500, 0.500], [0.167, 0.833, 0.500], [0.833, 0.167, 0.500], [0.089, 0.427, 0.282], [0.234, 0.234, 0.718], [0.427, 0.089, 0.282], [0.573, 0.911, 0.718], [0.766, 0.766, 0.282], [0.911, 0.573, 0.718]],
  "magmom_total_mub_per_fu": 0.52,
  "n_ef_per_ev_fu": 6.7,
  "e_form_kj_per_mol_atoms": -118.8,
  "spacegroup": "C2/m",
  "vol_a3_per_cell": 332.0
}

{
  "formula": "Ca2Ni3Sb4Pd",
  "functional": "PBE-GGA",
  "state": "optimized geometry",
  "lattice_angstrom": [[4.525, 0.000, 0.000], [0.000, 4.525, 0.000], [0.000, 0.000, 10.203]],
  "species": ["Ca", "Ca", "Ni", "Ni", "Ni", "Sb", "Sb", "Sb", "Sb", "Pd"],
  "frac_coords": [[0.000, 0.500, 0.240], [0.500, 0.000, 0.760], [0.000, 0.000, 0.000], [0.000, 0.500, 0.621], [0.500, 0.000, 0.379], [0.000, 0.000, 0.500], [0.000, 0.500, 0.865], [0.500, 0.000, 0.135], [0.500, 0.500, 0.500], [0.500, 0.500, 0.000]],
  "magmom_total_mub_per_fu": 0.00,
  "n_ef_per_ev_fu": 4.8,
  "spacegroup": "P-4m2",
  "raw_formation_energy_kj_per_mol_atoms": -54.0,
  "vol_a3_per_cell": 208.9
}